[1]
## CaCoAu (GGA-PBEsol)

Data for a relaxed CaCoAu crystal.

abc: 4.144 4.144 3.984
angles: 90.00 90.00 120.00
Fractional positions:
Co 0.667 0.333 0.500
Ca 0.333 0.667 0.000
Au 0.000 0.000 0.500

Fermi-level density of states: 0.99 states/eV per atom
symmetry: P-6m2 (187)
total magnetization: 0.062 μB/atom
formation energy: -71 meV/atom

***

[2]
## Ca2CoAu (GGA-PBEsol)

Data for a relaxed Ca2CoAu crystal.

abc: 4.794 4.794 4.794
angles: 60.00 60.00 60.00
Fractional positions:
Co 0.250 0.250 0.250
Ca 0.000 0.000 0.000
Ca 0.750 0.750 0.750
Au 0.500 0.500 0.500

Fermi-level density of states: 1.60 states/eV per atom
symmetry: F-43m (216)
total magnetization: 0.146 μB/atom
formation energy: 116 meV/atom

***

[3]
## Ca2HfCoAu (GGA-PBEsol)

Data for a relaxed Ca2HfCoAu crystal.

abc: 4.230 5.803 5.803
angles: 90.00 90.00 90.00
Fractional positions:
Hf 0.000 0.000 0.000
Ca 0.000 0.000 0.500
Ca 0.000 0.500 0.000
Au 0.500 0.500 0.500
Co 0.500 0.000 0.000

Fermi-level density of states: 1.10 states/eV per atom
symmetry: P4/mmm (123)
total magnetization: 0.000 μB/atom
formation energy: 942 meV/atom

***

[4]
## CaCoOsAu2 (GGA-PBEsol)

Data for a relaxed CaCoOsAu2 crystal.

abc: 4.676 4.921 4.921
angles: 90.00 90.00 90.00
Fractional positions:
Os 0.500 0.000 0.000
Ca 0.000 0.000 0.000
Au 0.000 0.000 0.500
Au 0.000 0.500 0.000
Co 0.500 0.500 0.500

Fermi-level density of states: 1.86 states/eV per atom
symmetry: P4/mmm (123)
total magnetization: 0.580 μB/atom
formation energy: 2318 meV/atom

***

[5]
## CaCrAu2 (GGA-PBEsol)

Data for a relaxed CaCrAu2 crystal.

abc: 4.740 4.740 4.740
angles: 60.00 60.00 60.00
Fractional positions:
Cr 0.250 0.250 0.250
Ca 0.500 0.500 0.500
Au 0.000 0.000 0.000
Au 0.750 0.750 0.750

Fermi-level density of states: 0.65 states/eV per atom
symmetry: F-43m (216)
total magnetization: 1.110 μB/atom
formation energy: 7 meV/atom

***

[6]
## CaCr3Au (GGA-PBEsol)

Data for a relaxed CaCr3Au crystal.

abc: 4.194 4.194 4.194
angles: 90.00 90.00 90.00
Fractional positions:
Cr 0.000 0.500 0.000
Cr 0.000 0.000 0.500
Cr 0.500 0.000 0.000
Ca 0.000 0.000 0.000
Au 0.500 0.500 0.500

Fermi-level density of states: 1.54 states/eV per atom
symmetry: Pm-3m (221)
total magnetization: 0.003 μB/atom
formation energy: 2399 meV/atom

***

- The lowest Fermi-level density of states belongs to which entry?
  CaCrAu2